(1)
{
  "formula": "AuIN3",
  "functional": "PBEsol",
  "state": "optimized geometry",
  "e_form_raw_mev_per_atom": 2249,
  "crystal_system": "cubic",
  "magnetic_moment_mub_per_fu": 1.2,
  "lattice": [[4.032, 0.000, 0.000], [0.000, 4.032, 0.000], [0.000, 0.000, 4.032]],
  "species": ["Au", "I", "N", "N", "N"],
  "fractional_positions": [[0.000, 0.000, 0.000], [0.500, 0.500, 0.500], [0.000, 0.000, 0.500], [0.000, 0.500, 0.000], [0.500, 0.000, 0.000]]
}


(2)
{
  "formula": "ScTaSe3",
  "functional": "PBEsol",
  "state": "optimized geometry",
  "e_form_raw_mev_per_atom": 274,
  "crystal_system": "cubic",
  "magnetic_moment_mub_per_fu": 2.0,
  "lattice": [[4.939, 0.000, 0.000], [0.000, 4.939, 0.000], [0.000, 0.000, 4.939]],
  "species": ["Sc", "Ta", "Se", "Se", "Se"],
  "fractional_positions": [[0.000, 0.000, 0.000], [0.500, 0.500, 0.500], [0.000, 0.000, 0.500], [0.000, 0.500, 0.000], [0.500, 0.000, 0.000]]
}


Which formula does entry 2 have?
ScTaSe3